Below is an optimized crystal structure of CrSnHPd2, with properties calculated at the PBE level.

Cell lengths 4.1389, 4.1389, 3.9928 Å; angles 90.00, 90.00, 90.00 degrees
Site moments in Bohr magnetons follow the coordinates.
Fractional coordinates of all 5 atoms:
Pd 0.5000 0.0000 0.0000  0.05
Pd 0.0000 0.5000 0.0000  0.05
Cr 0.0000 0.0000 0.5000  3.28
Sn 0.5000 0.5000 0.5000  -0.12
H 0.0000 0.0000 0.0000  -0.02

Properties
Space-group type: P4/mmm

---

Below is an optimized crystal structure of PIr2Pb, with properties calculated at the PBE level.

Cell lengths 4.6940, 4.6940, 3.1027 Å; angles 90.00, 90.00, 99.64 degrees
Fractional coordinates of all 4 atoms:
Pb 0.0000 0.5000 0.5000
Ir 0.5000 0.5000 0.0000
Ir 0.0000 0.0000 0.0000
P 0.5000 0.0000 0.5000

Properties
Formation energy: 2.360 eV per formula unit
Space-group type: Cmmm

---

Below is an optimized crystal structure of ZrCu2F8, with properties calculated at the PBE level.

Cell lengths 5.1441, 5.5905, 5.5905 Å; angles 87.18, 98.33, 98.33 degrees
Site moments in Bohr magnetons follow the coordinates.
Fractional coordinates of all 11 atoms:
F 0.7395 0.0321 0.6912  0.02
F 0.2605 0.9679 0.3088  0.02
F 0.2257 0.8177 0.8177  0.04
F 0.7451 0.5444 0.5444  0.19
F 0.7743 0.1823 0.1823  0.04
F 0.7395 0.6912 0.0321  0.02
F 0.2605 0.3088 0.9679  0.02
F 0.2549 0.4556 0.4556  0.19
Cu 0.5159 0.3223 0.3223  0.71
Cu 0.4841 0.6777 0.6777  0.71
Zr 0.0000 0.0000 0.0000  0.02

Properties
E_form (uncorrected): -26.5 eV/f.u.
Space-group type: C2/m

---

Below is an optimized crystal structure of Pm6Ir2AuI3, with properties calculated at the PBE level.

Cell lengths 7.3587, 7.3587, 8.4239 Å; angles 98.37, 98.37, 119.99 degrees
Fractional coordinates of all 12 atoms:
Pm 0.5855 0.9373 0.8128
Pm 0.4145 0.0627 0.1872
Pm 0.7101 0.7101 0.1863
Pm 0.2899 0.2899 0.8137
Pm 0.9373 0.5855 0.8128
Pm 0.0627 0.4145 0.1872
Ir 0.6668 0.3332 0.0000
Ir 0.3332 0.6668 0.0000
I 0.1655 0.8345 0.5000
I 0.8345 0.1655 0.5000
I 0.5000 0.5000 0.5000
Au 0.0000 0.0000 0.0000

Properties
E_form (uncorrected): -11.4 eV/f.u.
Space-group type: C2/m

---

no.,total energy (eV per atom)
1,-5.65
2,-6.12
3,-5.29
4,-5.47